An optimized crystal structure of Cd4CuAg. Source: the Alexandria database, functional GGA-PBE.

Results
Energy relative to the lowest polymorph listed for this composition in eV per atom: 0.214
Symmetry: No. 216
Size of the total moment in μB/f.u.: 0.00
Calculated formation energy in eV per atom: 0.280

Cell and atoms, written as POSCAR:
```
Cd4CuAg
1.0
0.000 3.978 3.978
3.978 0.000 3.978
3.978 3.978 0.000
Cd Cu Ag
4 1 1
direct
0.125 0.125 0.125 Cd
0.125 0.125 0.625 Cd
0.125 0.625 0.125 Cd
0.625 0.125 0.125 Cd
0.750 0.750 0.750 Cu
0.500 0.500 0.500 Ag
```